Record 1
VASP calculation (PBE) on a geometry-optimized La2GeAsSe structure.

a b c (Å): 5.7494 4.7446 5.7494
angles (deg): 90.00 90.00 90.00
Closest atoms and distances in Å follow each position.
Element x y z (fractional)
Ge  0.0000  0.5000  0.0000  2 As 2.37
La  0.0000  0.0000  0.5000  2 As 2.87
La  0.5000  0.0000  0.0000  2 As 2.87
Se  0.5000  0.5000  0.5000  8 La 3.73, 4 Ge 4.07
As  0.0000  0.0000  0.0000  2 Ge 2.37

Output
The space-group type is No. 123. The value obtained for the raw formation energy is -0.600 eV per atom. The density comes out at 5.34 g/cm³.



Record 2
VASP calculation (PBE) on a geometry-optimized La4GeTe2As structure.

a b c (Å): 4.4743 7.7433 7.8824
angles (deg): 109.12 90.00 90.00
Closest atoms and distances in Å follow each position.
Element x y z (fractional)
Ge  0.5000  0.5000  0.0000  6 La 3.07-3.08
La  0.0000  0.7405  0.2258  2 Ge 3.08, 1 As 3.09, 3 Te 3.28-3.30
La  0.5000  0.2432  0.2248  1 Ge 3.07, 2 As 3.08, 3 Te 3.29-3.31
La  0.0000  0.2595  0.7742  2 Ge 3.08, 1 As 3.09, 3 Te 3.28-3.30
La  0.5000  0.7568  0.7752  1 Ge 3.07, 2 As 3.08, 3 Te 3.29-3.31
Te  0.5000  0.0000  0.5000  6 La 3.30-3.31
Te  0.0000  0.5000  0.5000  6 La 3.28-3.29
As  0.0000  0.0000  0.0000  6 La 3.08-3.09

Output
The space-group type is No. 10. The value obtained for the raw formation energy is -1.481 eV per atom. The density comes out at 6.17 g/cm³.



Record 3
VASP calculation (PBE) on a geometry-optimized La4GeTeAs2 structure.

a b c (Å): 4.4148 7.7130 7.7146
angles (deg): 70.91 90.00 90.00
Closest atoms and distances in Å follow each position.
Element x y z (fractional)
La  0.5000  0.2427  0.7449  3 As 3.06-3.14, 2 Ge 3.15, 1 Te 3.22
La  0.5000  0.7573  0.2551  3 As 3.06-3.14, 2 Ge 3.15, 1 Te 3.22
La  0.0000  0.2358  0.2658  3 As 3.05-3.15, 1 Ge 3.13, 2 Te 3.24
La  0.0000  0.7642  0.7342  3 As 3.05-3.15, 1 Ge 3.13, 2 Te 3.24
Te  0.5000  0.5000  0.0000  6 La 3.22-3.24
As  0.5000  0.0000  0.5000  6 La 3.05-3.06
As  0.0000  0.0000  0.0000  6 La 3.14-3.15
Ge  0.0000  0.5000  0.5000  6 La 3.13-3.15

Output
The space-group type is No. 10. The value obtained for the raw formation energy is -1.413 eV per atom. The density comes out at 6.06 g/cm³.



Record 4
VASP calculation (PBE) on a geometry-optimized LaThGeAs structure.

a b c (Å): 4.3347 4.3347 7.5330
angles (deg): 73.28 73.28 60.00
Closest atoms and distances in Å follow each position.
Element x y z (fractional)
La  0.6938  0.6938  0.9186  3 Ge 3.11, 3 As 3.11
Th  0.1949  0.1949  0.4154  3 Ge 3.02, 3 As 3.04
As  0.4470  0.4470  0.6591  3 Th 3.04, 3 La 3.11
Ge  0.9408  0.9408  0.1776  3 Th 3.02, 3 La 3.11

Output
The formation enthalpy at 0 K is -1.139 eV/atom. The space-group type is No. 160. The density comes out at 7.45 g/cm³.



Which formula does entry 3 have? La4GeTeAs2



Repeat the third record exactly.
VASP calculation (PBE) on a geometry-optimized La4GeTeAs2 structure.

a b c (Å): 4.4148 7.7130 7.7146
angles (deg): 70.91 90.00 90.00
Closest atoms and distances in Å follow each position.
Element x y z (fractional)
La  0.5000  0.2427  0.7449  3 As 3.06-3.14, 2 Ge 3.15, 1 Te 3.22
La  0.5000  0.7573  0.2551  3 As 3.06-3.14, 2 Ge 3.15, 1 Te 3.22
La  0.0000  0.2358  0.2658  3 As 3.05-3.15, 1 Ge 3.13, 2 Te 3.24
La  0.0000  0.7642  0.7342  3 As 3.05-3.15, 1 Ge 3.13, 2 Te 3.24
Te  0.5000  0.5000  0.0000  6 La 3.22-3.24
As  0.5000  0.0000  0.5000  6 La 3.05-3.06
As  0.0000  0.0000  0.0000  6 La 3.14-3.15
Ge  0.0000  0.5000  0.5000  6 La 3.13-3.15

Output
The space-group type is No. 10. The value obtained for the raw formation energy is -1.413 eV per atom. The density comes out at 6.06 g/cm³.